(1)
# La4PtRh, relaxed, DFT PBE
# Energy of formation from the pure elements in eV/f.u.: 2.488
# Total magnetic moment in μB/atom: 0.001
# Energy above the most stable polymorph in this dataset in meV per atom: 1105.5
# DOS(E_F) in states/eV/cell: 34.8
data_La4PtRh
_chemical_formula_sum 'La16 Pt4 Rh4'
_space_group_name_H-M_alt 'F -4 3 m'
_space_group_IT_number 216
_space_group_name_Hall 'F -4 2 3'
_cell_length_a 8.6305
_cell_length_b 8.6305
_cell_length_c 8.6305
_cell_angle_alpha 90.00
_cell_angle_beta 90.00
_cell_angle_gamma 90.00
loop_
_atom_site_label
_atom_site_type_symbol
_atom_site_fract_x
_atom_site_fract_y
_atom_site_fract_z
La1 La 0.1250 0.1250 0.1250
Pt1 Pt 0.2500 0.2500 0.7500
Rh1 Rh 0.0000 0.0000 0.5000

---

(2)
# Nb5Re2, relaxed, DFT PBE
# Energy of formation from the pure elements in eV/f.u.: 1.913
# Total magnetic moment in μB/atom: 0.000
# DOS(E_F) in states/eV/cell: 15.3
data_Nb5Re2
_chemical_formula_sum 'Nb10 Re4'
_space_group_name_H-M_alt 'P 4/m b m'
_space_group_IT_number 127
_space_group_name_Hall '-P 4 2ab'
_cell_length_a 9.2698
_cell_length_b 9.2698
_cell_length_c 2.9759
_cell_angle_alpha 90.00
_cell_angle_beta 90.00
_cell_angle_gamma 90.00
loop_
_atom_site_label
_atom_site_type_symbol
_atom_site_fract_x
_atom_site_fract_y
_atom_site_fract_z
Nb1 Nb 0.0000 0.5000 0.0000
Nb2 Nb 0.0661 0.2077 0.0000
Re1 Re 0.1818 0.6818 0.5000

---

(3)
# LaP2I, relaxed, DFT PBE
# Energy relative to the elements, uncorrected in kcal/mol of atoms: 0.9
# Total magnetic moment in μB/atom: 0.000
# Energy above the most stable polymorph in this dataset in meV per atom: 0.0
# DOS(E_F) in states/eV/cell: 16.2
data_LaP2I
_chemical_formula_sum 'La4 P8 I4'
_space_group_name_H-M_alt 'F m -3 m'
_space_group_IT_number 225
_space_group_name_Hall '-F 4 2 3'
_cell_length_a 7.2952
_cell_length_b 7.2952
_cell_length_c 7.2952
_cell_angle_alpha 90.00
_cell_angle_beta 90.00
_cell_angle_gamma 90.00
loop_
_atom_site_label
_atom_site_type_symbol
_atom_site_fract_x
_atom_site_fract_y
_atom_site_fract_z
La1 La 0.0000 0.0000 0.0000
P1 P 0.2500 0.2500 0.2500
I1 I 0.0000 0.0000 0.5000